No. 1
This record from the Alexandria database describes crystalline Ni2Sb at its relaxed geometry. The functional is PBE-GGA.

**Magnetic moment**: 0.00 μB/atom
**Formation energy from raw total energies**: -0.045 eV/atom
**Crystal system**: orthorhombic

Unit cell a=3.316 b=5.254 c=10.224 alpha=90.00 beta=90.00 gamma=90.00
Space group Immm (No. 71)
Asymmetric unit:
Ni1 0.000 0.000 0.127 [4 per cell]
Ni2 0.000 0.249 0.500 [4 per cell]
Sb1 0.000 0.500 0.167 [4 per cell]

No. 2
This record from the Alexandria database describes crystalline CaH2F6 at its relaxed geometry. The functional is PBE-GGA.

**Magnetic moment**: 0.00 μB/atom
**Raw total energy**: -75.03 eV per cell
**Crystal system**: monoclinic

Unit cell a=10.074 b=3.375 c=7.832 alpha=90.00 beta=116.25 gamma=90.00
Space group C2/m (No. 12)
Asymmetric unit:
Ca1 0.000 0.000 0.000 [2 per cell]
H1 0.190 0.000 0.807 [4 per cell]
F1 0.079 0.000 0.767 [4 per cell]
F2 0.162 0.500 0.123 [4 per cell]
F3 0.243 0.500 0.524 [4 per cell]

No. 3
This record from the Alexandria database describes crystalline LiAl2Cl at its relaxed geometry. The functional is PBE-GGA.

**Magnetic moment**: 0.00 μB/atom
**Formation energy from raw total energies**: -0.357 eV/atom
**Crystal system**: monoclinic

Unit cell a=5.159 b=15.689 c=3.175 alpha=90.00 beta=127.98 gamma=90.00
Space group C2/m (No. 12)
Asymmetric unit:
Li1 0.000 0.000 0.000 [2 per cell]
Al1 0.250 0.250 0.000 [4 per cell]
Cl1 0.000 0.500 0.000 [2 per cell]

What is the formula in the second record?
CaH2F6

What is the formula in the second record?
CaH2F6

Please write out number 1 again, unchanged.
This record from the Alexandria database describes crystalline Ni2Sb at its relaxed geometry. The functional is PBE-GGA.

**Magnetic moment**: 0.00 μB/atom
**Formation energy from raw total energies**: -0.045 eV/atom
**Crystal system**: orthorhombic

Unit cell a=3.316 b=5.254 c=10.224 alpha=90.00 beta=90.00 gamma=90.00
Space group Immm (No. 71)
Asymmetric unit:
Ni1 0.000 0.000 0.127 [4 per cell]
Ni2 0.000 0.249 0.500 [4 per cell]
Sb1 0.000 0.500 0.167 [4 per cell]

Number 1 is which compound?
Ni2Sb